Material: Ta2TlCoHg
Method: DFT, PBE-GGA
State: relaxed

The structure in extended XYZ format:
```
5
Lattice="4.618 0.000 0.000 0.000 4.917 0.000 0.000 0.000 4.618" Properties=species:S:1:pos:R:3 pbc="T T T"
Tl 2.309 2.459 2.309
Co 0.000 0.000 0.000
Hg 0.000 2.459 0.000
Ta 0.000 0.000 2.309
Ta 2.309 0.000 0.000
```

Output
Formation enthalpy at 0 K (eV/atom): 0.800
DOS(E_F) (states/eV/f.u.): 3.45
Total moment (μB per formula unit): 0.00